DFT (PBE-GGA) results for a relaxed structure of Rb11TlHg2.

Its magnetic moment is 0.00 μB per cell. The calculated total energy comes out at -0.9870 eV/atom.

The space group is Ibam (No. 72) and the conventional cell measures 13.8258, 17.6316 and 18.5623 Å, with angles of 90.00, 90.00 and 90.00 degrees. The asymmetric unit holds Rb at (0.0000, 0.0000, 0.0000), Rb at (0.1049, 0.3125, 0.1557), Rb at (0.1303, 0.2186, 0.5000), Rb at (0.2138, 0.4421, 0.3700), Tl at (0.0000, 0.5000, 0.2500) and Hg at (0.1394, 0.1777, 0.0000).